(1)
This record from Alexandria via LeMat-Bulk describes a geometry-optimized TbHoRuPt structure. The functional is PBE.

Computed properties:
Total energy = -6.919 eV per atom
Relative energy among the computed polymorphs = 0.045 eV per atom
DOS at the Fermi energy = 0.52 states/eV per atom

Cell: 4.8690 4.8690 4.8690 Å, 60.00 60.00 60.00°
Fractional coordinates of all 4 atoms:
Ru1 0.2500 0.2500 0.2500
Tb1 0.0000 0.0000 0.0000
Ho1 0.5000 0.5000 0.5000
Pt1 0.7500 0.7500 0.7500



(2)
This record from Alexandria via LeMat-Bulk describes a geometry-optimized CePmAu2O8 structure. The functional is PBE.

Computed properties:
Total energy = -6.029 eV per atom
DOS at the Fermi energy = 0.46 states/eV per atom
Raw formation energy = -1.287 eV per atom

Cell: 5.6182 5.6182 6.5335 Å, 115.46 115.46 90.00°
Fractional coordinates of all 12 atoms:
Ce1 0.0000 0.0000 0.0000
Pm1 0.7500 0.2500 0.5000
Au1 0.5000 0.5000 0.0000
Au2 0.2500 0.7500 0.5000
O1 0.6832 0.8564 0.0729
O2 0.3897 0.2165 0.0729
O3 0.6182 0.6739 0.5769
O4 0.9587 0.9030 0.5769
O5 0.0970 0.3818 0.4231
O6 0.3261 0.0413 0.4231
O7 0.1436 0.6103 0.9271
O8 0.7835 0.3168 0.9271



(3)
This record from Alexandria via LeMat-Bulk describes a geometry-optimized CrTeP structure. The functional is PBE.

Computed properties:
Total energy = -5.886 eV per atom
Relative energy among the computed polymorphs = 0.180 eV per atom
DOS at the Fermi energy = 0.81 states/eV per atom
Raw formation energy = 0.173 eV per atom

Cell: 6.3817 6.3817 6.3817 Å, 152.42 152.42 39.40°
Fractional coordinates of all 3 atoms:
Cr1 0.9844 0.9844 0.0000
P1 0.3855 0.3855 0.0000
Te1 0.6301 0.6301 0.0000



(4)
This record from Alexandria via LeMat-Bulk describes a geometry-optimized TbNdFe structure. The functional is PBE.

Computed properties:
Total energy = -5.860 eV per atom
Relative energy among the computed polymorphs = 0.000 eV per atom
DOS at the Fermi energy = 1.30 states/eV per atom

Cell: 7.0018 7.0099 7.4190 Å, 90.00 90.00 119.96°
Fractional coordinates of all 12 atoms:
Fe1 0.5901 0.1802 0.5423
Fe2 0.9099 0.8198 0.0423
Fe3 0.4099 0.8198 0.4577
Fe4 0.0901 0.1802 0.9577
Tb1 0.2917 0.0834 0.2500
Tb2 0.2083 0.9166 0.7500
Tb3 0.7083 0.9166 0.7500
Tb4 0.7917 0.0834 0.2500
Nd1 0.8020 0.6041 0.3879
Nd2 0.6980 0.3959 0.8879
Nd3 0.1980 0.3959 0.6121
Nd4 0.3020 0.6041 0.1121



(5)
This record from Alexandria via LeMat-Bulk describes a geometry-optimized TmMoW4 structure. The functional is PBE.

Computed properties:
Total energy = -10.988 eV per atom
DOS at the Fermi energy = 0.69 states/eV per atom

Cell: 5.3693 5.3693 5.3693 Å, 60.00 60.00 60.00°
Fractional coordinates of all 6 atoms:
Mo1 0.2500 0.2500 0.2500
Tm1 0.0000 0.0000 0.0000
W1 0.6248 0.6248 0.1256
W2 0.6248 0.1256 0.6248
W3 0.6248 0.6248 0.6248
W4 0.1256 0.6248 0.6248



(6)
This record from Alexandria via LeMat-Bulk describes a geometry-optimized LiErTm2Cd4 structure. The functional is PBE.

Computed properties:
Total energy = -2.658 eV per atom
DOS at the Fermi energy = 0.86 states/eV per atom

Cell: 5.1469 5.1469 8.9325 Å, 73.26 73.26 60.00°
Fractional coordinates of all 8 atoms:
Li1 0.5000 0.5000 0.5000
Er1 0.0000 0.0000 0.0000
Tm1 0.7509 0.7509 0.7473
Tm2 0.2491 0.2491 0.2527
Cd1 0.3793 0.3793 0.8622
Cd2 0.8732 0.8732 0.3803
Cd3 0.1268 0.1268 0.6197
Cd4 0.6207 0.6207 0.1378



(7)
This record from Alexandria via LeMat-Bulk describes a geometry-optimized La2Al2Pd3 structure. The functional is PBE.

Computed properties:
Total energy = -5.557 eV per atom
DOS at the Fermi energy = 0.63 states/eV per atom

Cell: 4.2284 7.4447 9.8353 Å, 90.00 102.41 90.00°
Fractional coordinates of all 14 atoms:
La1 0.1438 0.2500 0.2876
La2 0.8562 0.7500 0.7124
La3 0.9351 0.2500 0.8702
La4 0.0649 0.7500 0.1298
Al1 0.6993 0.9416 0.3986
Al2 0.3007 0.0584 0.6014
Al3 0.3007 0.4416 0.6014
Al4 0.6993 0.5584 0.3986
Pd1 0.2295 0.7500 0.4589
Pd2 0.7705 0.2500 0.5411
Pd3 0.5687 0.4582 0.1374
Pd4 0.4313 0.5418 0.8626
Pd5 0.4313 0.9582 0.8626
Pd6 0.5687 0.0418 0.1374



(8)
This record from Alexandria via LeMat-Bulk describes a geometry-optimized ThAl2CdAu2 structure. The functional is PBE.

Computed properties:
Total energy = -4.221 eV per atom
DOS at the Fermi energy = 0.51 states/eV per atom

Cell: 4.4930 4.4930 7.1526 Å, 90.00 90.00 120.00°
Fractional coordinates of all 6 atoms:
Th1 0.0000 0.0000 0.0000
Al1 0.6667 0.3333 0.7089
Al2 0.3333 0.6667 0.2911
Cd1 0.0000 0.0000 0.5000
Au1 0.6667 0.3333 0.2753
Au2 0.3333 0.6667 0.7247



(9)
This record from Alexandria via LeMat-Bulk describes a geometry-optimized Pm5Pr2Y5 structure. The functional is PBE.

Computed properties:
Total energy = -5.455 eV per atom
DOS at the Fermi energy = 1.51 states/eV per atom

Cell: 5.1275 10.8885 8.1113 Å, 98.47 71.57 76.38°
Fractional coordinates of all 12 atoms:
Pm1 0.6685 0.2481 0.4150
Pm2 0.0017 0.2477 0.7490
Pm3 0.9983 0.7523 0.2510
Pm4 0.3315 0.7519 0.5850
Pm5 0.0000 0.0000 0.0000
Pr1 0.3342 0.5000 0.8316
Pr2 0.6658 0.5000 0.1684
Y1 0.0000 0.5000 0.5000
Y2 0.6657 0.7519 0.9166
Y3 0.3339 0.9993 0.3329
Y4 0.6661 0.0007 0.6671
Y5 0.3343 0.2481 0.0834



(10)
This record from Alexandria via LeMat-Bulk describes a geometry-optimized Pm2SiRh structure. The functional is PBE.

Computed properties:
Total energy = -6.148 eV per atom
DOS at the Fermi energy = 0.49 states/eV per atom
Raw formation energy = -0.579 eV per atom

Cell: 3.8141 4.8586 4.8586 Å, 90.00 90.00 90.00°
Fractional coordinates of all 4 atoms:
Si1 0.5000 0.0000 0.0000
Rh1 0.5000 0.5000 0.5000
Pm1 0.0000 0.0000 0.5000
Pm2 0.0000 0.5000 0.0000



(11)
This record from Alexandria via LeMat-Bulk describes a geometry-optimized CrFe2Ag structure. The functional is PBE.

Computed properties:
Total energy = -7.011 eV per atom
Relative energy among the computed polymorphs = 0.018 eV per atom
DOS at the Fermi energy = 0.77 states/eV per atom

Cell: 2.5668 2.5668 8.5018 Å, 90.00 90.00 109.05°
Fractional coordinates of all 4 atoms:
Ag1 0.0000 0.0000 0.4979
Cr1 0.5000 0.5000 0.7763
Fe1 0.0000 0.0000 0.9992
Fe2 0.5000 0.5000 0.2265



(12)
This record from Alexandria via LeMat-Bulk describes a geometry-optimized BeZn2H2 structure. The functional is PBE.

Computed properties:
Total energy = -1.996 eV per atom
Relative energy among the computed polymorphs = 0.180 eV per atom
DOS at the Fermi energy = 0.23 states/eV per atom

Cell: 6.0769 6.0769 3.4152 Å, 90.00 90.00 90.00°
Fractional coordinates of all 10 atoms:
Be1 0.0000 0.0000 0.0000
Be2 0.5000 0.5000 0.0000
Zn1 0.3276 0.8276 0.0000
Zn2 0.8276 0.6724 0.0000
Zn3 0.6724 0.1724 0.0000
Zn4 0.1724 0.3276 0.0000
H1 0.3508 0.8508 0.5000
H2 0.8508 0.6492 0.5000
H3 0.6492 0.1492 0.5000
H4 0.1492 0.3508 0.5000



(13)
This record from Alexandria via LeMat-Bulk describes a geometry-optimized TbY5Rh6 structure. The functional is PBE.

Computed properties:
Total energy = -7.598 eV per atom
DOS at the Fermi energy = 0.59 states/eV per atom

Cell: 4.8514 6.9045 7.6758 Å, 90.00 71.58 90.00°
Fractional coordinates of all 12 atoms:
Y1 0.6668 0.5000 0.6665
Y2 0.3331 0.0000 0.3337
Y3 0.0000 0.5000 0.0000
Y4 0.6669 0.0000 0.6663
Y5 0.3332 0.5000 0.3335
Rh1 0.8336 0.7502 0.3329
Rh2 0.8336 0.2498 0.3329
Rh3 0.5000 0.2494 0.0000
Rh4 0.5000 0.7506 0.0000
Rh5 0.1664 0.7502 0.6671
Rh6 0.1664 0.2498 0.6671
Tb1 0.0000 0.0000 0.0000



(14)
This record from Alexandria via LeMat-Bulk describes a geometry-optimized CeInCuCl6 structure. The functional is PBE.

Computed properties:
Total energy = -4.016 eV per atom
DOS at the Fermi energy = 0.86 states/eV per atom
Raw formation energy = -1.366 eV per atom

Cell: 6.6706 6.6706 14.0502 Å, 90.00 90.00 120.00°
Fractional coordinates of all 18 atoms:
Ce1 0.6667 0.3333 0.2500
Ce2 0.3333 0.6667 0.7500
In1 0.0000 0.0000 0.0000
In2 0.0000 0.0000 0.5000
Cu1 0.3333 0.6667 0.2500
Cu2 0.6667 0.3333 0.7500
Cl1 0.6305 0.6470 0.1433
Cl2 0.0165 0.3695 0.1433
Cl3 0.3695 0.0165 0.6433
Cl4 0.9835 0.6305 0.8567
Cl5 0.3530 0.3695 0.3567
Cl6 0.0165 0.6470 0.3567
Cl7 0.6470 0.0165 0.8567
Cl8 0.6305 0.9835 0.3567
Cl9 0.9835 0.3530 0.6433
Cl10 0.3530 0.9835 0.1433
Cl11 0.6470 0.6305 0.6433
Cl12 0.3695 0.3530 0.8567



(15)
This record from Alexandria via LeMat-Bulk describes a geometry-optimized TeCCl2 structure. The functional is PBE.

Computed properties:
Total energy = -2.797 eV per atom
Relative energy among the computed polymorphs = 0.130 eV per atom
DOS at the Fermi energy = 0.12 states/eV per atom
Raw formation energy = 1.217 eV per atom

Cell: 6.4355 6.4355 6.4353 Å, 60.00 60.00 90.00°
Fractional coordinates of all 8 atoms:
C1 0.5000 0.5000 0.0000
C2 0.2500 0.7500 0.5000
Te1 0.0000 0.0000 0.0000
Te2 0.7500 0.2500 0.5000
Cl1 0.3751 0.1250 0.2500
Cl2 0.3749 0.6250 0.2500
Cl3 0.3750 0.6249 0.7500
Cl4 0.8750 0.6251 0.7500



(16)
This record from Alexandria via LeMat-Bulk describes a geometry-optimized BeMoIr2 structure. The functional is PBE.

Computed properties:
Total energy = -8.094 eV per atom
DOS at the Fermi energy = 0.68 states/eV per atom

Cell: 2.7197 2.7197 8.1255 Å, 90.00 90.00 114.71°
Fractional coordinates of all 4 atoms:
Be1 0.5000 0.5000 0.7500
Mo1 0.5000 0.5000 0.2500
Ir1 0.0000 0.0000 0.9695
Ir2 0.0000 0.0000 0.5305



(17)
This record from Alexandria via LeMat-Bulk describes a geometry-optimized Sm4In3Pd structure. The functional is PBE.

Computed properties:
Total energy = -4.598 eV per atom
DOS at the Fermi energy = 0.61 states/eV per atom

Cell: 3.6328 3.6328 16.2356 Å, 90.00 90.00 90.00°
Fractional coordinates of all 8 atoms:
Pd1 0.5000 0.5000 0.0000
Sm1 0.0000 0.0000 0.8924
Sm2 0.0000 0.0000 0.1076
Sm3 0.0000 0.0000 0.3688
Sm4 0.0000 0.0000 0.6312
In1 0.5000 0.5000 0.2389
In2 0.5000 0.5000 0.5000
In3 0.5000 0.5000 0.7611



(18)
This record from Alexandria via LeMat-Bulk describes a geometry-optimized EuEr2Ru structure. The functional is PBE.

Computed properties:
Total energy = -7.423 eV per atom
Relative energy among the computed polymorphs = 0.000 eV per atom
DOS at the Fermi energy = 0.53 states/eV per atom

Cell: 3.4202 3.4202 9.3799 Å, 90.00 90.00 90.00°
Fractional coordinates of all 4 atoms:
Eu1 0.5000 0.5000 0.5000
Ru1 0.5000 0.5000 0.0000
Er1 0.0000 0.0000 0.8274
Er2 0.0000 0.0000 0.1726



(19)
This record from Alexandria via LeMat-Bulk describes a geometry-optimized PaTl2ZnO8 structure. The functional is PBE.

Computed properties:
Total energy = -5.701 eV per atom
DOS at the Fermi energy = 0.70 states/eV per atom
Raw formation energy = -1.103 eV per atom

Cell: 6.1606 6.1606 6.1606 Å, 114.32 114.32 100.16°
Fractional coordinates of all 12 atoms:
Pa1 0.2500 0.7500 0.5000
Tl1 0.7500 0.2500 0.5000
Tl2 0.5000 0.5000 0.0000
Zn1 0.0000 0.0000 0.0000
O1 0.3297 0.0265 0.3032
O2 0.2900 0.4835 0.1935
O3 0.2900 0.0966 0.8065
O4 0.7233 0.0265 0.6968
O5 0.9034 0.7100 0.1935
O6 0.9735 0.2767 0.3032
O7 0.9735 0.6703 0.6968
O8 0.5165 0.7100 0.8065



(20)
This record from Alexandria via LeMat-Bulk describes a geometry-optimized CsZnCuHg2 structure. The functional is PBE.

Computed properties:
Total energy = -1.363 eV per atom
DOS at the Fermi energy = 0.39 states/eV per atom

Cell: 5.4048 5.4048 4.9597 Å, 90.00 90.00 90.00°
Fractional coordinates of all 5 atoms:
Cs1 0.5000 0.5000 0.5000
Zn1 0.0000 0.0000 0.5000
Hg1 0.0000 0.5000 0.0000
Hg2 0.5000 0.0000 0.0000
Cu1 0.0000 0.0000 0.0000



(21)
This record from Alexandria via LeMat-Bulk describes a geometry-optimized Sm3In2Ir structure. The functional is PBE.

Computed properties:
Total energy = -5.187 eV per atom
DOS at the Fermi energy = 0.73 states/eV per atom

Cell: 7.9856 6.7975 8.0248 Å, 84.11 79.94 54.03°
Fractional coordinates of all 12 atoms:
Sm1 0.4553 0.6421 0.7693
Sm2 0.3274 0.0000 0.1707
Sm3 0.5447 0.3579 0.2307
Sm4 0.9026 0.6421 0.2307
Sm5 0.0974 0.3579 0.7693
Sm6 0.6726 0.0000 0.8293
In1 0.0000 0.0000 0.0000
In2 0.5000 0.0000 0.5000
In3 0.1310 0.7379 0.5000
In4 0.8690 0.2621 0.5000
Ir1 0.7095 0.5810 0.0000
Ir2 0.2905 0.4190 0.0000



(22)
This record from Alexandria via LeMat-Bulk describes a geometry-optimized PrNiH8Ir2 structure. The functional is PBE.

Computed properties:
Total energy = -4.780 eV per atom
DOS at the Fermi energy = 0.18 states/eV per atom

Cell: 4.7260 4.7260 5.9409 Å, 66.56 66.56 60.00°
Fractional coordinates of all 12 atoms:
Pr1 0.5000 0.5000 0.5000
Ni1 0.0000 0.0000 0.0000
H1 0.1843 0.1843 0.4472
H2 0.6434 0.0603 0.2346
H3 0.8157 0.8157 0.5528
H4 0.0617 0.6434 0.2346
H5 0.9383 0.3566 0.7654
H6 0.0603 0.0617 0.2346
H7 0.9397 0.9383 0.7654
H8 0.3566 0.9397 0.7654
Ir1 0.2864 0.2864 0.1407
Ir2 0.7136 0.7136 0.8593



(23)
This record from Alexandria via LeMat-Bulk describes a geometry-optimized TaAs2RuSe structure. The functional is PBE.

Computed properties:
Total energy = -5.879 eV per atom
Relative energy among the computed polymorphs = 0.000 eV per atom
DOS at the Fermi energy = 0.69 states/eV per atom
Raw formation energy = 0.904 eV per atom

Cell: 4.9760 4.9760 4.9266 Å, 90.00 90.00 90.00°
Fractional coordinates of all 5 atoms:
Ru1 0.5000 0.5000 0.5000
As1 0.0000 0.5000 0.0000
As2 0.5000 0.0000 0.0000
Se1 0.0000 0.0000 0.5000
Ta1 0.0000 0.0000 0.0000